one.
The following is a DFT calculation (PBE) of a relaxed Hf2UIn crystal.

## Properties
Space group: No. 123

Structure (extended XYZ):
```
4
Lattice="-1.489 0.331 3.823 1.712 -4.207 1.031 3.991 1.963 1.384" Properties=species:S:1:pos:R:3 pbc="T T T"
Hf 0.856 -2.104 0.516
Hf 1.995 0.981 0.692
In 2.107 -0.956 3.119
U -0.744 0.166 1.911
```

***

two.
The following is a DFT calculation (PBE) of a relaxed Hf2UIn crystal.

## Properties
Space group: No. 123

Structure (extended XYZ):
```
4
Lattice="-2.629 -2.307 0.843 1.010 0.110 3.451 -4.253 5.242 1.079" Properties=species:S:1:pos:R:3 pbc="T T T"
Hf -1.015 1.251 0.257
Hf -3.238 3.991 0.821
In -2.936 1.523 2.686
U -0.810 -1.099 2.147
```

***

three.
The following is a DFT calculation (PBE) of a relaxed Hf2UIn crystal.

## Properties
Space group: No. 166

Structure (extended XYZ):
```
4
Lattice="-1.020 -0.706 2.941 2.094 -0.260 2.396 -0.727 9.754 3.823" Properties=species:S:1:pos:R:3 pbc="T T T"
In 0.173 4.393 4.580
Hf 0.261 6.579 6.867
Hf 0.085 2.208 2.292
U 0.000 0.000 0.000
```

***

four.
The following is a DFT calculation (PBE) of a relaxed Hf2UIn crystal.

## Properties
Space group: No. 225

Structure (extended XYZ):
```
4
Lattice="-1.100 -3.520 3.404 1.390 -4.760 -0.773 3.651 -2.031 2.780" Properties=species:S:1:pos:R:3 pbc="T T T"
U 0.000 0.000 0.000
In 1.971 -5.155 2.705
Hf 0.985 -2.578 1.353
Hf 2.956 -7.733 4.058
```

***

Tell me which of them is the most stable. Sure, it is one.

***

one.
The following is a DFT calculation (PBE) of a relaxed HfVIn crystal.

## Properties
Space group: No. 70

Structure (extended XYZ):
```
12
Lattice="5.449 0.000 0.000 2.725 4.800 0.000 2.725 0.000 9.118" Properties=species:S:1:pos:R:3 pbc="T T T"
Hf 5.449 1.546 0.000
Hf 6.811 3.946 4.559
Hf 6.811 0.854 4.559
Hf 2.725 3.255 0.000
In 4.087 2.400 6.088
In 2.725 0.000 1.529
In 4.087 2.400 3.030
In 5.449 0.000 7.590
V 5.449 0.000 2.322
V 6.811 2.400 2.237
V 2.725 0.000 6.796
V 6.811 2.400 6.881
```

***

two.
The following is a DFT calculation (PBE) of a relaxed HfVIn crystal.

## Properties
Space group: No. 107

Structure (extended XYZ):
```
3
Lattice="3.389 0.000 0.000 0.000 3.389 0.000 -1.694 -1.694 5.093" Properties=species:S:1:pos:R:3 pbc="T T T"
V 1.694 1.694 4.624
In 0.000 0.000 2.996
Hf 1.694 1.694 1.038
```

***

Tell me which of them is the most stable. Sure, it is two.

***

one.
The following is a DFT calculation (PBE) of a relaxed HfVIn2 crystal.

## Properties
Space group: No. 123

Structure (extended XYZ):
```
4
Lattice="4.437 0.000 0.000 0.000 4.199 0.000 0.000 0.000 4.199" Properties=species:S:1:pos:R:3 pbc="T T T"
In 0.000 2.100 0.000
In 0.000 0.000 2.100
Hf 2.218 0.000 0.000
V 2.218 2.100 2.100
```

***

two.
The following is a DFT calculation (PBE) of a relaxed HfVIn2 crystal.

## Properties
Space group: No. 122

Structure (extended XYZ):
```
8
Lattice="7.676 0.000 0.000 0.000 7.676 0.000 3.838 3.838 2.908" Properties=species:S:1:pos:R:3 pbc="T T T"
In 2.091 5.757 0.727
In 5.757 5.929 2.181
In 5.584 1.919 0.727
In 9.595 9.422 2.181
Hf 0.000 0.000 0.000
Hf 7.676 3.838 1.454
V 3.838 7.676 1.454
V 3.838 3.838 0.000
```

***

three.
The following is a DFT calculation (PBE) of a relaxed HfVIn2 crystal.

## Properties
Space group: No. 225

Structure (extended XYZ):
```
4
Lattice="2.607 -3.842 1.415 -1.600 -2.822 3.611 -1.584 -4.490 -0.947" Properties=species:S:1:pos:R:3 pbc="T T T"
Hf -0.288 -5.577 2.039
In -0.144 -2.788 1.020
In -0.432 -8.365 3.059
V 0.000 0.000 0.000
```

***

Tell me which of them is the most stable. Sure, it is one.

***

one.
The following is a DFT calculation (PBE) of a relaxed Hf3VIn crystal.

## Properties
Space group: No. 221

Structure (extended XYZ):
```
5
Lattice="4.872 0.000 0.000 0.000 4.872 0.000 0.000 0.000 4.872" Properties=species:S:1:pos:R:3 pbc="T T T"
Hf 0.000 2.436 0.000
Hf 2.436 0.000 0.000
Hf 0.000 0.000 2.436
In 2.436 2.436 2.436
V 0.000 0.000 0.000
```

***

two.
The following is a DFT calculation (PBE) of a relaxed Hf3VIn crystal.

## Properties
Space group: No. 221

Structure (extended XYZ):
```
5
Lattice="-0.895 -1.634 -4.853 5.020 0.691 -1.158 1.010 -4.886 1.459" Properties=species:S:1:pos:R:3 pbc="T T T"
In 0.000 0.000 0.000
V 2.568 -2.914 -2.276
Hf 2.510 0.346 -0.579
Hf -0.447 -0.817 -2.427
Hf 0.505 -2.443 0.729
```

***

Tell me which of them is the most stable. Sure, it is one.

***

one.
The following is a DFT calculation (PBE) of a relaxed HfInW3 crystal.

## Properties
Space group: No. 221

Structure (extended XYZ):
```
5
Lattice="4.828 0.000 0.000 0.000 4.828 0.000 0.000 0.000 4.828" Properties=species:S:1:pos:R:3 pbc="T T T"
W 0.000 2.414 0.000
W 0.000 0.000 2.414
W 2.414 0.000 0.000
Hf 0.000 0.000 0.000
In 2.414 2.414 2.414
```

***

two.
The following is a DFT calculation (PBE) of a relaxed HfInW3 crystal.

## Properties
Space group: No. 221

Structure (extended XYZ):
```
5
Lattice="4.846 0.000 0.000 0.000 4.846 0.000 0.000 0.000 4.846" Properties=species:S:1:pos:R:3 pbc="T T T"
W 2.423 0.000 0.000
W 0.000 2.423 0.000
W 0.000 0.000 2.423
In 0.000 0.000 0.000
Hf 2.423 2.423 2.423
```

***

Tell me which of them is the most stable. Sure, it is one.

***

one.
The following is a DFT calculation (PBE) of a relaxed Hf3InW crystal.

## Properties
Space group: No. 221

Structure (extended XYZ):
```
5
Lattice="-2.680 3.368 -2.699 -2.590 -3.797 -2.165 -3.453 0.233 3.720" Properties=species:S:1:pos:R:3 pbc="T T T"
Hf -1.295 -1.898 -1.083
Hf -1.726 0.117 1.860
Hf -1.340 1.684 -1.350
W -4.361 -0.098 -0.572
In 0.000 0.000 0.000
```

***

two.
The following is a DFT calculation (PBE) of a relaxed Hf3InW crystal.

## Properties
Space group: No. 221

Structure (extended XYZ):
```
5
Lattice="5.065 0.000 0.000 0.000 5.065 0.000 0.000 0.000 5.065" Properties=species:S:1:pos:R:3 pbc="T T T"
In 2.532 2.532 2.532
Hf 2.532 0.000 0.000
Hf 0.000 0.000 2.532
Hf 0.000 2.532 0.000
W 0.000 0.000 0.000
```

***

Tell me which of them is the most stable. Sure, it is two.

***

one.
The following is a DFT calculation (PBE) of a relaxed YHfIn crystal.

## Properties
Space group: No. 107

Structure (extended XYZ):
```
3
Lattice="-2.096 -1.575 2.172 -1.451 -1.653 -2.599 6.094 -3.223 0.876" Properties=species:S:1:pos:R:3 pbc="T T T"
In -0.272 -3.295 0.017
Y 2.545 -6.449 0.449
Hf 2.820 -3.157 0.433
```

***

two.
The following is a DFT calculation (PBE) of a relaxed YHfIn crystal.

## Properties
Space group: No. 129

Structure (extended XYZ):
```
6
Lattice="4.386 0.000 0.000 0.000 4.386 0.000 0.000 0.000 8.196" Properties=species:S:1:pos:R:3 pbc="T T T"
Y 0.000 2.193 2.766
Y 2.193 0.000 5.429
In 0.000 2.193 6.035
In 2.193 0.000 2.161
Hf 0.000 0.000 0.000
Hf 2.193 2.193 0.000
```

***

Tell me which of them is the most stable. Sure, it is two.

***

one.
The following is a DFT calculation (PBE) of a relaxed Hf6ZnIn crystal.

## Properties
Space group: No. 123

Structure (extended XYZ):
```
8
Lattice="4.378 0.000 0.000 0.000 4.378 0.000 0.000 0.000 8.718" Properties=species:S:1:pos:R:3 pbc="T T T"
Hf 2.189 2.189 4.359
Hf 0.000 2.189 2.241
Hf 0.000 2.189 6.477
Hf 2.189 0.000 6.477
Hf 2.189 0.000 2.241
Hf 2.189 2.189 0.000
In 0.000 0.000 0.000
Zn 0.000 0.000 4.359
```

***

two.
The following is a DFT calculation (PBE) of a relaxed Hf6ZnIn crystal.

## Properties
Space group: No. 12

Structure (extended XYZ):
```
8
Lattice="-3.975 3.004 -3.896 5.884 -1.428 -1.830 -2.715 -5.467 1.231" Properties=species:S:1:pos:R:3 pbc="T T T"
Hf -2.844 -1.898 -3.807
Hf 2.037 -1.994 -0.690
Hf 1.632 -3.910 -2.869
Hf -1.510 -3.629 -0.578
Hf 0.703 -0.263 -3.918
Hf -2.439 0.018 -1.628
Zn -0.403 -1.946 -2.248
In 0.000 0.000 0.000
```

***

Tell me which of them is the most stable. Sure, it is one.

***

one.
The following is a DFT calculation (PBE) of a relaxed HfZn2In2 crystal.

## Properties
Space group: No. 139

Structure (extended XYZ):
```
5
Lattice="-2.250 3.249 0.653 -3.237 -2.323 0.405 -1.611 -0.018 6.824" Properties=species:S:1:pos:R:3 pbc="T T T"
In -2.501 0.360 1.876
In -4.597 0.548 6.006
Zn -3.796 -0.939 3.879
Zn -3.302 1.847 4.003
Hf 0.000 0.000 0.000
```

***

two.
The following is a DFT calculation (PBE) of a relaxed HfZn2In2 crystal.

## Properties
Space group: No. 127

Structure (extended XYZ):
```
10
Lattice="-4.340 -4.994 -4.008 -0.061 -4.810 6.059 -2.747 1.471 1.141" Properties=species:S:1:pos:R:3 pbc="T T T"
Zn -1.703 -6.131 3.808
Zn -0.544 -2.427 1.821
Zn -2.698 -3.673 -1.758
Zn -3.857 -7.377 0.229
In -4.954 -4.903 -0.777
In -4.373 -6.604 2.817
In -2.775 -1.728 0.374
In -2.194 -3.430 3.968
Hf -2.201 -4.902 1.025
Hf 0.000 0.000 0.000
```

***

three.
The following is a DFT calculation (PBE) of a relaxed HfZn2In2 crystal.

## Properties
Space group: No. 127

Structure (extended XYZ):
```
10
Lattice="7.945 0.000 0.000 0.000 7.945 0.000 0.000 0.000 3.221" Properties=species:S:1:pos:R:3 pbc="T T T"
Hf 0.000 0.000 0.000
Hf 3.973 3.973 0.000
In 5.051 1.078 0.000
In 2.895 6.867 0.000
In 1.078 2.895 0.000
In 6.867 5.051 0.000
Zn 1.315 5.288 1.611
Zn 6.630 2.657 1.611
Zn 5.288 6.630 1.611
Zn 2.657 1.315 1.611
```

***

Tell me which of them is the most stable. Sure, it is two.

***

one.
The following is a DFT calculation (PBE) of a relaxed Hf3ZnIn crystal.

## Properties
Space group: No. 221

Structure (extended XYZ):
```
5
Lattice="4.921 0.000 0.000 0.000 4.921 0.000 0.000 0.000 4.921" Properties=species:S:1:pos:R:3 pbc="T T T"
Hf 2.461 0.000 0.000
Hf 0.000 2.461 0.000
Hf 0.000 0.000 2.461
In 2.461 2.461 2.461
Zn 0.000 0.000 0.000
```

***

two.
The following is a DFT calculation (PBE) of a relaxed Hf3ZnIn crystal.

## Properties
Space group: No. 194

Structure (extended XYZ):
```
10
Lattice="5.316 0.000 0.000 0.000 6.893 -0.001 0.000 -3.445 5.970" Properties=species:S:1:pos:R:3 pbc="T T T"
Hf 3.987 0.001 2.264
Hf 1.329 4.932 1.131
Hf 1.329 3.447 3.705
Hf 3.987 -1.485 4.838
Hf 3.987 1.487 4.837
Hf 1.329 1.960 1.132
Zn 2.658 0.000 0.000
Zn 0.000 0.000 0.000
In 1.329 0.001 3.979
In 3.987 3.446 1.990
```

***

Tell me which of them is the most stable. Sure, it is two.

***

one.
The following is a DFT calculation (PBE) of a relaxed HfZnIn3 crystal.

## Properties
Space group: No. 221

Structure (extended XYZ):
```
5
Lattice="5.069 0.000 0.000 0.000 5.069 0.000 0.000 0.000 5.069" Properties=species:S:1:pos:R:3 pbc="T T T"
In 0.000 2.534 0.000
In 2.534 0.000 0.000
In 0.000 0.000 2.534
Hf 2.534 2.534 2.534
Zn 0.000 0.000 0.000
```

***

two.
The following is a DFT calculation (PBE) of a relaxed HfZnIn3 crystal.

## Properties
Space group: No. 221

Structure (extended XYZ):
```
5
Lattice="-5.643 0.520 -0.238 -0.493 -5.620 -0.583 -0.289 -0.559 5.636" Properties=species:S:1:pos:R:3 pbc="T T T"
Zn -3.212 -2.830 2.408
In -0.145 -0.280 2.818
In -2.821 0.260 -0.119
In -0.246 -2.810 -0.291
Hf 0.000 0.000 0.000
```

***

Tell me which of them is the most stable. Sure, it is one.